A) The following is a DFT calculation (PBE) of a relaxed structure of Tc2Pt.

Unit cell a=6.066 b=6.066 c=3.937 alpha=90.00 beta=90.00 gamma=142.05
Fractional coordinates of all 6 atoms:
Tc  0.593  0.407  0.250
Tc  0.407  0.593  0.750
Tc  0.248  0.752  0.250
Tc  0.752  0.248  0.750
Pt  0.916  0.084  0.250
Pt  0.084  0.916  0.750


B) The following is a DFT calculation (PBE) of a relaxed structure of Tc2Pt.

Unit cell a=5.024 b=5.024 c=5.024 alpha=104.91 beta=104.91 gamma=119.03
Fractional coordinates of all 6 atoms:
Tc  0.632  0.132  0.763
Tc  0.132  0.368  0.500
Tc  0.868  0.632  0.500
Tc  0.368  0.868  0.237
Pt  0.750  0.750  0.000
Pt  0.250  0.250  0.000


Most stable structure, least stable structure: A), B).


A) The following is a DFT calculation (PBE) of a relaxed structure of Tc2Pt.

Unit cell a=5.116 b=5.116 c=8.227 alpha=90.00 beta=90.00 gamma=60.00
Fractional coordinates of all 12 atoms:
Tc  0.000  0.000  0.000
Tc  0.000  0.000  0.500
Tc  0.825  0.351  0.750
Tc  0.351  0.825  0.750
Tc  0.175  0.175  0.250
Tc  0.825  0.825  0.750
Tc  0.649  0.175  0.250
Tc  0.175  0.649  0.250
Pt  0.667  0.667  0.077
Pt  0.667  0.667  0.423
Pt  0.333  0.333  0.577
Pt  0.333  0.333  0.923


B) The following is a DFT calculation (PBE) of a relaxed structure of Tc2Pt.

Unit cell a=4.831 b=4.831 c=4.378 alpha=90.00 beta=90.00 gamma=119.97
Fractional coordinates of all 6 atoms:
Pt  0.168  0.168  0.250
Pt  0.832  0.832  0.750
Tc  0.490  0.832  0.250
Tc  0.510  0.168  0.750
Tc  0.832  0.490  0.250
Tc  0.168  0.510  0.750


Most stable structure, least stable structure: B), A).


A) The following is a DFT calculation (PBE) of a relaxed structure of Tc2Pt.

Unit cell a=2.751 b=7.386 c=4.428 alpha=90.00 beta=90.00 gamma=79.27
Fractional coordinates of all 6 atoms:
Pt  0.333  0.334  0.000
Pt  0.556  0.889  0.500
Tc  0.000  0.000  0.000
Tc  0.224  0.552  0.500
Tc  0.665  0.670  0.000
Tc  0.889  0.222  0.500


B) The following is a DFT calculation (PBE) of a relaxed structure of Tc2Pt.

Unit cell a=4.799 b=4.799 c=4.799 alpha=147.32 beta=131.22 gamma=59.96
Fractional coordinates of all 3 atoms:
Tc  0.673  0.673  0.000
Tc  0.327  0.327  0.000
Pt  0.000  0.000  0.000


C) The following is a DFT calculation (PBE) of a relaxed structure of Tc2Pt.

Unit cell a=4.229 b=4.229 c=4.229 alpha=60.00 beta=60.00 gamma=60.00
Fractional coordinates of all 3 atoms:
Pt  0.000  0.000  0.000
Tc  0.750  0.750  0.750
Tc  0.250  0.250  0.250


D) The following is a DFT calculation (PBE) of a relaxed structure of Tc2Pt.

Unit cell a=6.067 b=6.067 c=6.067 alpha=90.00 beta=90.00 gamma=90.00
Fractional coordinates of all 12 atoms:
Tc  0.104  0.604  0.896
Tc  0.104  0.896  0.396
Tc  0.396  0.104  0.896
Tc  0.396  0.396  0.396
Tc  0.604  0.604  0.604
Tc  0.604  0.896  0.104
Tc  0.896  0.104  0.604
Tc  0.896  0.396  0.104
Pt  0.000  0.000  0.000
Pt  0.000  0.500  0.500
Pt  0.500  0.000  0.500
Pt  0.500  0.500  0.000


Most stable structure, least stable structure: A), C).


A) The following is a DFT calculation (PBE) of a relaxed structure of TcPt4.

Unit cell a=3.928 b=4.836 c=4.836 alpha=99.49 beta=113.96 gamma=66.04
Fractional coordinates of all 5 atoms:
Pt  0.796  0.807  0.399
Pt  0.204  0.193  0.601
Pt  0.603  0.601  0.807
Pt  0.397  0.399  0.193
Tc  0.000  0.000  0.000


B) The following is a DFT calculation (PBE) of a relaxed structure of TcPt4.

Unit cell a=2.777 b=2.772 c=14.127 alpha=119.61 beta=90.00 gamma=120.06
Fractional coordinates of all 5 atoms:
Tc  0.000  0.000  0.000
Pt  0.349  0.697  0.811
Pt  0.651  0.303  0.189
Pt  0.337  0.673  0.603
Pt  0.663  0.327  0.397


C) The following is a DFT calculation (PBE) of a relaxed structure of TcPt4.

Unit cell a=5.002 b=5.002 c=5.002 alpha=109.47 beta=109.47 gamma=109.47
Fractional coordinates of all 5 atoms:
Tc  0.000  0.000  0.000
Pt  0.500  0.000  0.000
Pt  0.500  0.500  0.500
Pt  0.000  0.500  0.000
Pt  0.000  0.000  0.500


D) The following is a DFT calculation (PBE) of a relaxed structure of TcPt4.

Unit cell a=7.084 b=7.084 c=7.084 alpha=150.26 beta=150.26 gamma=42.56
Fractional coordinates of all 5 atoms:
Tc  0.000  0.000  0.000
Pt  0.750  0.250  0.500
Pt  0.596  0.596  0.000
Pt  0.404  0.404  0.000
Pt  0.250  0.750  0.500


Most stable structure, least stable structure: A), C).


A) The following is a DFT calculation (PBE) of a relaxed structure of TcPt4.

Unit cell a=4.732 b=4.732 c=4.732 alpha=90.00 beta=90.00 gamma=90.00
Fractional coordinates of all 5 atoms:
Tc  0.500  0.500  0.500
Pt  0.000  0.000  0.000
Pt  0.500  0.000  0.500
Pt  0.000  0.500  0.500
Pt  0.500  0.500  0.000


B) The following is a DFT calculation (PBE) of a relaxed structure of TcPt4.

Unit cell a=4.671 b=4.671 c=8.766 alpha=103.60 beta=103.60 gamma=111.22
Fractional coordinates of all 10 atoms:
Tc  0.795  0.205  0.000
Tc  0.205  0.795  0.000
Pt  0.801  0.801  0.556
Pt  0.343  0.719  0.710
Pt  0.657  0.281  0.290
Pt  0.199  0.199  0.444
Pt  0.281  0.657  0.290
Pt  0.752  0.752  0.142
Pt  0.719  0.343  0.710
Pt  0.248  0.248  0.858


Most stable structure, least stable structure: B), A).


A) The following is a DFT calculation (PBE) of a relaxed structure of TcPt2.

Unit cell a=2.766 b=3.955 c=4.797 alpha=114.35 beta=106.76 gamma=90.00
Fractional coordinates of all 3 atoms:
Pt  0.663  0.663  0.326
Pt  0.337  0.337  0.674
Tc  0.000  0.000  0.000


B) The following is a DFT calculation (PBE) of a relaxed structure of TcPt2.

Unit cell a=5.607 b=3.868 c=8.440 alpha=90.00 beta=90.00 gamma=90.00
Fractional coordinates of all 12 atoms:
Pt  0.125  0.250  0.247
Pt  0.126  0.250  0.584
Pt  0.374  0.750  0.084
Pt  0.375  0.750  0.747
Pt  0.625  0.250  0.253
Pt  0.626  0.250  0.916
Pt  0.874  0.750  0.416
Pt  0.875  0.750  0.753
Tc  0.110  0.250  0.931
Tc  0.390  0.750  0.431
Tc  0.610  0.250  0.569
Tc  0.890  0.750  0.069


Most stable structure, least stable structure: A), B).